1.
A plane-wave DFT calculation with GGA-PBEsol was carried out for a geometry-optimized InFePb2 structure.

## Properties
* M_tot: 2.90 μB per cell
* total DFT energy (no corrections): -17.62 eV/f.u.
* energy of formation from the pure elements: 0.582 eV per atom
* energy relative to the lowest polymorph listed for this composition: 302.6 meV per atom

abc: 3.450 5.098 5.389
angles: 90.00 90.00 90.00
Space group Pmmm (No. 47)
One atom of each set of equivalent atoms:
In 0.000 0.000 0.000 [1 per cell]
Fe 0.500 0.000 0.500 [1 per cell]
Pb 0.000 0.500 0.500 [1 per cell]
Pb 0.500 0.500 0.000 [1 per cell]



2.
A plane-wave DFT calculation with GGA-PBEsol was carried out for a geometry-optimized NbReSi structure.

## Properties
* M_tot: 0.00 μB per cell
* total DFT energy (no corrections): -31.56 eV/f.u.
* formation energy (no corrections): -1.658 eV per formula unit

abc: 6.905 11.555 6.692
angles: 90.00 90.00 90.00
Space group Ima2 (No. 46)
One atom of each set of equivalent atoms:
Nb 0.250 0.004 0.000 [4 per cell]
Nb 0.250 0.212 0.381 [4 per cell]
Nb 0.250 0.696 0.884 [4 per cell]
Re 0.000 0.000 0.338 [4 per cell]
Re 0.034 0.627 0.215 [8 per cell]
Si 0.004 0.668 0.586 [8 per cell]
Si 0.250 0.025 0.600 [4 per cell]



3.
A plane-wave DFT calculation with GGA-PBEsol was carried out for a geometry-optimized BaHfSn2B structure.

## Properties
* M_tot: 0.00 μB per cell
* total DFT energy (no corrections): -27.29 eV/f.u.
* energy of formation from the pure elements: 0.180 eV per atom

abc: 5.447 5.447 4.689
angles: 90.00 90.00 90.00
Space group P4/mmm (No. 123)
One atom of each set of equivalent atoms:
Ba 0.000 0.000 0.000 [1 per cell]
Hf 0.500 0.500 0.500 [1 per cell]
Sn 0.000 0.500 0.500 [2 per cell]
B 0.500 0.500 0.000 [1 per cell]



4.
A plane-wave DFT calculation with GGA-PBEsol was carried out for a geometry-optimized TaZnW2 structure.

## Properties
* M_tot: 0.00 μB per cell
* total DFT energy (no corrections): -40.94 eV/f.u.
* energy of formation from the pure elements: 0.202 eV per atom

abc: 3.265 4.388 8.793
angles: 90.00 90.00 90.00
Space group Immm (No. 71)
One atom of each set of equivalent atoms:
Ta 0.000 0.000 0.000 [2 per cell]
Zn 0.000 0.000 0.500 [2 per cell]
W 0.000 0.500 0.254 [4 per cell]



5.
A plane-wave DFT calculation with GGA-PBEsol was carried out for a geometry-optimized KPt3 structure.

## Properties
* M_tot: 0.00 μB per cell
* total DFT energy (no corrections): -22.14 eV/f.u.
* energy of formation from the pure elements: -0.030 eV per atom
* energy relative to the lowest polymorph listed for this composition: 0.0 meV per atom

abc: 4.444 7.730 5.895
angles: 90.00 90.00 90.00
Space group Pmmn (No. 59, origin choice 2)
One atom of each set of equivalent atoms:
K 0.250 0.250 0.056 [2 per cell]
Pt 0.250 0.080 0.552 [4 per cell]
Pt 0.250 0.750 0.479 [2 per cell]



6.
A plane-wave DFT calculation with GGA-PBEsol was carried out for a geometry-optimized CdAs2P structure.

## Properties
* M_tot: 0.00 μB per cell
* total DFT energy (no corrections): -16.69 eV/f.u.
* energy of formation from the pure elements: 0.127 eV per atom
* energy relative to the lowest polymorph listed for this composition: 0.0 meV per atom

abc: 3.7048 3.7048 19.5101
angles: 90.00 90.00 120.00
Space group R3m (No. 160, hexagonal axes)
One atom of each set of equivalent atoms:
Cd 0.0000 0.0000 0.0000 [3 per cell]
As 0.0000 0.0000 0.5077 [3 per cell]
As 0.0000 0.0000 0.7616 [3 per cell]
P 0.0000 0.0000 0.2478 [3 per cell]



Q: What is the total DFT energy (no corrections) in the fifth record?
A: -22.14 eV/f.u.



Q: Number 5 is which compound?
A: KPt3